Compound: Ba3HoFe2O8
Source: Alexandria
Functional: PBE+U
Structure: optimized geometry

a = 6.0207 Å, b = 6.0207 Å, c = 7.6221 Å
α = 90.00°, β = 90.00°, γ = 120.00°
Last column: nearest neighbours and their distance in Å.
Element x y z (fractional)
Ba  0.0000  0.0000  0.0000  6 O 3.01
Ba  0.3333  0.6667  0.6557  1 O 2.47
Ba  0.6667  0.3333  0.3443  1 O 2.47
Ho  0.0000  0.0000  0.5000  6 O 2.23
Fe  0.3333  0.6667  0.2156  4 O 1.80-1.89
Fe  0.6667  0.3333  0.7844  4 O 1.80-1.89
O  0.1689  0.3379  0.3202  1 Fe 1.89
O  0.1689  0.8311  0.3202  1 Fe 1.89
O  0.3333  0.6667  0.9794  1 Fe 1.80
O  0.3379  0.1689  0.6798  1 Fe 1.89
O  0.6621  0.8311  0.3202  1 Fe 1.89
O  0.6667  0.3333  0.0206  1 Fe 1.80
O  0.8311  0.1689  0.6798  1 Fe 1.89
O  0.8311  0.6621  0.6798  1 Fe 1.89

Values from the calculation:
The final energy is -93.6 eV/cell.